! PaTl2SnO6 | Alexandria | PBE-GGA | relaxed; values from VASP
! **Formation energy from raw total energies**: -1.91 eV/atom
&SYSTEM
  ibrav = 0, nat = 10, ntyp = 4
/
ATOMIC_SPECIES
O 16.00 O.upf
Tl 204.38 Tl.upf
Sn 118.71 Sn.upf
Pa 231.04 Pa.upf
ATOMIC_POSITIONS crystal
O 0.231 0.240 0.971
O 0.769 0.760 0.029
O 0.231 0.731 0.971
O 0.274 0.745 0.491
O 0.769 0.269 0.029
O 0.726 0.255 0.509
Tl 0.249 0.250 0.500
Tl 0.751 0.750 0.500
Sn 0.000 0.500 0.000
Pa 0.500 0.000 0.000
CELL_PARAMETERS angstrom
-1.332 -5.880 0.239
3.044 -0.478 5.189
-4.412 4.072 -0.546

---

! Tm2HgAu | Alexandria | PBE-GGA | relaxed; values from VASP
! **Energy of formation from the pure elements**: -0.687 eV per atom
! **Relative energy among the computed polymorphs**: 0.02 kcal/mol of atoms
&SYSTEM
  ibrav = 0, nat = 8, ntyp = 3
/
ATOMIC_SPECIES
Tm 168.93 Tm.upf
Hg 200.59 Hg.upf
Au 196.97 Au.upf
ATOMIC_POSITIONS crystal
Tm 0.000 0.250 0.117
Tm 0.000 0.750 0.363
Tm 0.000 0.750 0.883
Tm 0.000 0.250 0.637
Hg 0.500 0.250 0.381
Hg 0.500 0.750 0.619
Au 0.500 0.750 0.125
Au 0.500 0.250 0.875
CELL_PARAMETERS angstrom
3.605 0.000 0.000
0.000 5.117 0.000
0.000 0.000 10.235

---

! Cs4F | Alexandria | PBE-GGA | relaxed; values from VASP
! **Formation energy from raw total energies**: -1.04 eV/atom
! **Relative energy among the computed polymorphs**: 0.00 kcal/mol of atoms
&SYSTEM
  ibrav = 0, nat = 10, ntyp = 2
/
ATOMIC_SPECIES
Cs 132.91 Cs.upf
F 19.00 F.upf
ATOMIC_POSITIONS crystal
Cs 0.869 0.812 0.413
Cs 0.906 0.312 0.913
Cs 0.094 0.688 0.087
Cs 0.672 0.473 0.304
Cs 0.550 0.973 0.804
Cs 0.328 0.527 0.696
Cs 0.131 0.188 0.587
Cs 0.450 0.027 0.196
F 0.770 0.750 0.250
F 0.230 0.250 0.750
CELL_PARAMETERS angstrom
-5.075 4.658 -3.795
-0.559 -1.306 -9.006
-12.002 -7.274 -1.027

---

! Tm6AgPt5 | Alexandria | PBE-GGA | relaxed; values from VASP
! **Energy of formation from the pure elements**: -1.140 eV per atom
&SYSTEM
  ibrav = 0, nat = 12, ntyp = 3
/
ATOMIC_SPECIES
Pt 195.08 Pt.upf
Tm 168.93 Tm.upf
Ag 107.87 Ag.upf
ATOMIC_POSITIONS crystal
Pt 0.500 0.500 0.500
Pt 0.000 0.330 0.670
Pt 0.500 0.841 0.159
Pt 0.000 0.670 0.330
Pt 0.500 0.159 0.841
Tm 0.746 0.576 0.916
Tm 0.254 0.424 0.084
Tm 0.746 0.916 0.576
Tm 0.241 0.741 0.741
Tm 0.759 0.259 0.259
Tm 0.254 0.084 0.424
Ag 0.000 0.000 0.000
CELL_PARAMETERS angstrom
-1.536 4.650 -0.037
3.914 -1.345 -7.405
-6.672 -4.765 2.179

---

! TbLuGaCu | Alexandria | PBE-GGA | relaxed; values from VASP
! **Energy of formation from the pure elements**: -0.425 eV per atom
&SYSTEM
  ibrav = 0, nat = 4, ntyp = 4
/
ATOMIC_SPECIES
Lu 174.97 Lu.upf
Cu 63.55 Cu.upf
Tb 158.93 Tb.upf
Ga 69.72 Ga.upf
ATOMIC_POSITIONS crystal
Lu 0.500 0.500 0.500
Cu 0.750 0.750 0.750
Tb 0.000 0.000 0.000
Ga 0.250 0.250 0.250
CELL_PARAMETERS angstrom
-3.697 2.437 2.228
-3.644 -2.520 2.224
-0.348 -0.008 4.945

---

! U2P3Ru | Alexandria | PBE-GGA | relaxed; values from VASP
! **Energy of formation from the pure elements**: -0.634 eV per atom
&SYSTEM
  ibrav = 0, nat = 12, ntyp = 3
/
ATOMIC_SPECIES
Ru 101.07 Ru.upf
P 30.97 P.upf
U 238.03 U.upf
ATOMIC_POSITIONS crystal
Ru 0.353 0.353 0.706
Ru 0.647 0.647 0.294
P 0.145 0.686 0.830
P 0.189 0.189 0.378
P 0.855 0.314 0.170
P 0.686 0.145 0.830
P 0.314 0.855 0.170
P 0.811 0.811 0.622
U 0.750 0.250 0.500
U 0.244 0.244 0.000
U 0.756 0.756 0.000
U 0.250 0.750 0.500
CELL_PARAMETERS angstrom
-0.685 4.776 -2.484
2.332 -2.347 -4.302
-7.275 -3.352 1.063

---

! LaCoGeB2 | Alexandria | PBE-GGA | relaxed; values from VASP
! **Energy of formation from the pure elements**: 0.775 eV per atom
&SYSTEM
  ibrav = 0, nat = 5, ntyp = 4
/
ATOMIC_SPECIES
La 138.91 La.upf
B 10.81 B.upf
Co 58.93 Co.upf
Ge 72.64 Ge.upf
ATOMIC_POSITIONS crystal
La 0.500 0.500 0.500
B 0.000 0.000 0.500
B 0.500 0.000 0.000
Co 0.000 0.500 0.000
Ge 0.000 0.000 0.000
CELL_PARAMETERS angstrom
4.127 0.000 0.000
0.000 4.416 0.000
0.000 0.000 4.127

---

! BeSi2Pb | Alexandria | PBE-GGA | relaxed; values from VASP
! **Formation energy from raw total energies**: 0.65 eV/atom
! **Relative energy among the computed polymorphs**: 6.52 kcal/mol of atoms
&SYSTEM
  ibrav = 0, nat = 4, ntyp = 3
/
ATOMIC_SPECIES
Si 28.09 Si.upf
Pb 207.20 Pb.upf
Be 9.01 Be.upf
ATOMIC_POSITIONS crystal
Si 0.946 0.946 0.000
Si 0.554 0.554 0.000
Pb 0.250 0.750 0.500
Be 0.750 0.250 0.500
CELL_PARAMETERS angstrom
5.635 -0.045 -0.017
2.570 5.016 0.017
-3.345 -3.736 2.572

---

! As3RuF | Alexandria | PBE-GGA | relaxed; values from VASP
! **Formation energy from raw total energies**: 0.55 eV/atom
! **Relative energy among the computed polymorphs**: 7.12 kcal/mol of atoms
&SYSTEM
  ibrav = 0, nat = 5, ntyp = 3
/
ATOMIC_SPECIES
F 19.00 F.upf
As 74.92 As.upf
Ru 101.07 Ru.upf
ATOMIC_POSITIONS crystal
F 0.000 0.000 0.000
As 0.500 0.000 0.000
As 0.000 0.500 0.000
As 0.000 0.000 0.500
Ru 0.500 0.500 0.500
CELL_PARAMETERS angstrom
-1.509 -2.641 3.186
-2.608 -2.025 -2.915
3.212 -2.885 -0.870

---

! RbInGe | Alexandria | PBE-GGA | relaxed; values from VASP
! **Energy of formation from the pure elements**: 0.087 eV per atom
&SYSTEM
  ibrav = 0, nat = 6, ntyp = 3
/
ATOMIC_SPECIES
In 114.82 In.upf
Rb 85.47 Rb.upf
Ge 72.64 Ge.upf
ATOMIC_POSITIONS crystal
In 0.500 0.000 0.500
In 0.000 0.500 0.500
Rb 0.250 0.250 0.000
Rb 0.750 0.750 0.000
Ge 0.250 0.750 0.907
Ge 0.750 0.250 0.093
CELL_PARAMETERS angstrom
4.075 6.136 -0.573
-6.769 0.607 2.896
1.732 -0.758 4.208

---

! Pm6NiRh3 | Alexandria | PBE-GGA | relaxed; values from VASP
! **Energy of formation from the pure elements**: -0.483 eV per atom
&SYSTEM
  ibrav = 0, nat = 20, ntyp = 3
/
ATOMIC_SPECIES
Ni 58.69 Ni.upf
Rh 102.91 Rh.upf
Pm 145.00 Pm.upf
ATOMIC_POSITIONS crystal
Ni 0.250 0.939 0.296
Ni 0.750 0.061 0.704
Rh 0.250 0.598 0.171
Rh 0.750 0.114 0.047
Rh 0.750 0.402 0.829
Rh 0.750 0.693 0.524
Rh 0.250 0.886 0.953
Rh 0.250 0.307 0.476
Pm 0.750 0.751 0.310
Pm 0.250 0.123 0.895
Pm 0.250 0.587 0.922
Pm 0.250 0.170 0.209
Pm 0.750 0.830 0.791
Pm 0.250 0.249 0.690
Pm 0.250 0.529 0.389
Pm 0.250 0.892 0.568
Pm 0.750 0.877 0.105
Pm 0.750 0.471 0.611
Pm 0.750 0.413 0.078
Pm 0.750 0.108 0.432
CELL_PARAMETERS angstrom
-2.920 -0.368 -2.930
-1.764 -10.293 3.051
-7.360 7.722 6.366

---

! LiTmRh | Alexandria | PBE-GGA | relaxed; values from VASP
! **Energy of formation from the pure elements**: -0.459 eV per atom
! **Relative energy among the computed polymorphs**: 0.00 kcal/mol of atoms
&SYSTEM
  ibrav = 0, nat = 3, ntyp = 3
/
ATOMIC_SPECIES
Rh 102.91 Rh.upf
Li 6.94 Li.upf
Tm 168.93 Tm.upf
ATOMIC_POSITIONS crystal
Rh 0.168 0.333 0.667
Li 0.165 0.000 0.000
Tm 0.667 0.667 0.333
CELL_PARAMETERS angstrom
-0.489 -3.311 0.387
1.446 0.259 4.043
-4.190 0.523 -0.824

---

! ZrPt2S | Alexandria | PBE-GGA | relaxed; values from VASP
! **Formation energy from raw total energies**: -0.31 eV/atom
&SYSTEM
  ibrav = 0, nat = 4, ntyp = 3
/
ATOMIC_SPECIES
Pt 195.08 Pt.upf
S 32.06 S.upf
Zr 91.22 Zr.upf
ATOMIC_POSITIONS crystal
Pt 0.750 0.750 0.750
Pt 0.250 0.250 0.250
S 0.000 0.000 0.000
Zr 0.500 0.500 0.500
CELL_PARAMETERS angstrom
0.000 3.275 3.275
3.275 0.000 3.275
3.275 3.275 0.000

---

! Ca2Ir2Rh | Alexandria | PBE-GGA | relaxed; values from VASP
! **Energy of formation from the pure elements**: -0.232 eV per atom
&SYSTEM
  ibrav = 0, nat = 10, ntyp = 3
/
ATOMIC_SPECIES
Ca 40.08 Ca.upf
Ir 192.22 Ir.upf
Rh 102.91 Rh.upf
ATOMIC_POSITIONS crystal
Ca 0.320 0.180 0.500
Ca 0.680 0.820 0.500
Ca 0.180 0.680 0.500
Ca 0.820 0.320 0.500
Ir 0.628 0.128 0.000
Ir 0.128 0.372 0.000
Ir 0.872 0.628 0.000
Ir 0.372 0.872 0.000
Rh 0.500 0.500 0.000
Rh 0.000 0.000 0.000
CELL_PARAMETERS angstrom
-3.156 5.896 -0.057
-0.091 -0.114 -6.686
-4.027 -2.154 0.091

---

! SrGaCu3 | Alexandria | PBE-GGA | relaxed; values from VASP
! **Energy of formation from the pure elements**: 1.219 eV per atom
! **Relative energy among the computed polymorphs**: 31.60 kcal/mol of atoms
&SYSTEM
  ibrav = 0, nat = 5, ntyp = 3
/
ATOMIC_SPECIES
Ga 69.72 Ga.upf
Cu 63.55 Cu.upf
Sr 87.62 Sr.upf
ATOMIC_POSITIONS crystal
Ga 0.500 0.500 0.500
Cu 0.500 0.000 0.000
Cu 0.000 0.000 0.500
Cu 0.000 0.500 0.000
Sr 0.000 0.000 0.000
CELL_PARAMETERS angstrom
5.568 0.000 0.000
0.000 5.568 0.000
0.000 0.000 5.568

---

! NaCeTcN3 | Alexandria | PBE-GGA | relaxed; values from VASP
! **Formation energy from raw total energies**: -0.58 eV/atom
&SYSTEM
  ibrav = 0, nat = 12, ntyp = 4
/
ATOMIC_SPECIES
Tc 98.00 Tc.upf
N 14.01 N.upf
Ce 140.12 Ce.upf
Na 22.99 Na.upf
ATOMIC_POSITIONS crystal
Tc 0.999 0.999 0.212
Tc 0.001 0.001 0.788
N 0.493 0.987 0.773
N 0.856 0.711 0.211
N 0.144 0.289 0.789
N 0.834 0.667 0.634
N 0.507 0.013 0.227
N 0.166 0.333 0.366
Ce 0.353 0.705 0.434
Ce 0.647 0.295 0.566
Na 0.339 0.677 0.922
Na 0.661 0.323 0.078
CELL_PARAMETERS angstrom
3.883 0.000 0.000
-1.941 6.508 0.045
0.000 -1.929 6.484

---

! PtAuSeN2 | Alexandria | PBE-GGA | relaxed; values from VASP
! **Formation energy from raw total energies**: 1.81 eV/atom
! **Relative energy among the computed polymorphs**: 16.14 kcal/mol of atoms
&SYSTEM
  ibrav = 0, nat = 5, ntyp = 4
/
ATOMIC_SPECIES
Se 78.96 Se.upf
Pt 195.08 Pt.upf
Au 196.97 Au.upf
N 14.01 N.upf
ATOMIC_POSITIONS crystal
Se 0.000 0.000 0.500
Pt 0.500 0.500 0.500
Au 0.000 0.000 0.000
N 0.500 0.000 0.000
N 0.000 0.500 0.000
CELL_PARAMETERS angstrom
-1.859 3.219 -0.949
-2.806 -0.896 2.457
3.662 3.752 5.552

---

! Pm2DyOs | Alexandria | PBE-GGA | relaxed; values from VASP
! **Energy of formation from the pure elements**: -0.150 eV per atom
! **Relative energy among the computed polymorphs**: 0.39 kcal/mol of atoms
&SYSTEM
  ibrav = 0, nat = 8, ntyp = 3
/
ATOMIC_SPECIES
Dy 162.50 Dy.upf
Pm 145.00 Pm.upf
Os 190.23 Os.upf
ATOMIC_POSITIONS crystal
Dy 0.921 0.842 0.250
Dy 0.079 0.158 0.750
Pm 0.642 0.285 0.433
Pm 0.642 0.285 0.067
Pm 0.358 0.715 0.567
Pm 0.358 0.715 0.933
Os 0.260 0.521 0.250
Os 0.740 0.479 0.750
CELL_PARAMETERS angstrom
-1.542 1.597 3.410
-4.785 -2.033 -3.640
0.422 -8.249 4.054

---

! Pm3YTe4 | Alexandria | PBE-GGA | relaxed; values from VASP
! **Formation energy from raw total energies**: -1.36 eV/atom
! **Relative energy among the computed polymorphs**: 0.40 kcal/mol of atoms
&SYSTEM
  ibrav = 0, nat = 16, ntyp = 3
/
ATOMIC_SPECIES
Pm 145.00 Pm.upf
Te 127.60 Te.upf
Y 88.91 Y.upf
ATOMIC_POSITIONS crystal
Pm 0.333 0.667 0.875
Pm 0.000 0.000 0.000
Pm 0.000 0.000 0.500
Pm 0.667 0.333 0.125
Pm 0.667 0.333 0.375
Pm 0.333 0.667 0.625
Te 0.667 0.333 0.937
Te 0.667 0.333 0.563
Te 0.000 0.000 0.188
Te 0.000 0.000 0.312
Te 0.000 0.000 0.688
Te 0.333 0.667 0.437
Te 0.333 0.667 0.063
Te 0.000 0.000 0.812
Y 0.333 0.667 0.250
Y 0.667 0.333 0.750
CELL_PARAMETERS angstrom
4.343 0.000 0.000
-2.172 3.761 0.000
0.000 0.000 30.422

---

These records have VASP energy values of -67.1, -30.5, -21.0, -73.6, -18.0, -103.8, -26.1, -15.7, -22.4, -16.1, -122.3, -15.1, -26.0, -60.5, -10.9, -92.2, -20.4, -51.9, -88.4 eV/cell, in the order they appear.